First-principles (SCAN) data for ErMgAg at its PBEsol-relaxed geometry, as listed in the Alexandria database.

Formation energy in meV/atom: -340

Unit cell a=7.573 b=7.573 c=4.013 alpha=90.00 beta=90.00 gamma=120.00
Positions (direct):
Er1 0.000 0.413 0.000
Er2 0.413 0.000 0.000
Er3 0.587 0.587 0.000
Mg1 0.000 0.752 0.500
Mg2 0.248 0.248 0.500
Mg3 0.752 0.000 0.500
Ag1 0.000 0.000 0.000
Ag2 0.333 0.667 0.500
Ag3 0.667 0.333 0.500